LiCa3Nd2S6: optimized geometry, PBE-GGA.

abc: 6.967 6.967 6.989
angles: 99.56 99.56 119.98
Element x y z (fractional)
S  0.083  0.414  0.250
S  0.917  0.586  0.750
S  0.247  0.247  0.751
S  0.414  0.083  0.250
S  0.586  0.917  0.750
S  0.753  0.753  0.249
Nd  0.667  0.333  0.000
Nd  0.333  0.667  0.000
Li  0.000  0.000  0.000
Ca  0.500  0.500  0.500
Ca  0.834  0.166  0.500
Ca  0.166  0.834  0.500

Computed properties:
**D(E_F)**: 3.5 states/eV per cell
**SG**: C2/m
**VASP energy**: -66.1 eV per cell